## a
DFT (GGA-PBE) results for crystalline MgTlPO2 at its relaxed geometry.

**Symmetry**: No. 123
**Magnetization**: 0.70 μB/f.u.

a = 4.148 Å, b = 4.148 Å, c = 5.460 Å
α = 90.00°, β = 90.00°, γ = 90.00°
Atoms (fractional coordinates):
P 0.000 0.000 0.500
Tl 0.000 0.000 0.000
Mg 0.500 0.500 0.500
O 0.000 0.500 0.000
O 0.500 0.000 0.000

***

## b
DFT (GGA-PBE) results for crystalline MgTlPO2 at its relaxed geometry.

**Symmetry**: No. 123
**Magnetization**: 2.33 μB/f.u.

a = 3.946 Å, b = 3.946 Å, c = 5.521 Å
α = 90.00°, β = 90.00°, γ = 90.00°
Atoms (fractional coordinates):
P 0.000 0.000 0.500
Tl 0.500 0.500 0.500
Mg 0.000 0.000 0.000
O 0.000 0.500 0.000
O 0.500 0.000 0.000

***

Ranked by calculated energy, most stable first: b, a.